Record 1
# PBE-GGA NaCdGe3, optimized geometry
data_NaCdGe3
_space_group_name_H-M_alt 'P m -3 m'
_space_group_IT_number 221
_space_group_name_Hall '-P 4 2 3'
_cell_length_a 5.263
_cell_length_b 5.263
_cell_length_c 5.263
_cell_angle_alpha 90.00
_cell_angle_beta 90.00
_cell_angle_gamma 90.00
loop_
_atom_site_label
_atom_site_fract_x
_atom_site_fract_y
_atom_site_fract_z
Na1 0.000 0.000 0.000
Cd1 0.500 0.500 0.500
Ge1 0.000 0.500 0.500
# * energy above the most stable polymorph in this dataset: 0 meV per atom
# * total energy: -2.616 eV/atom
# * calculated formation energy: 0.602 eV/atom
# * magnetization: 0.0 μB per cell

Record 2
# PBE-GGA Na12Cd6Ge, optimized geometry
data_Na12Cd6Ge
_space_group_name_H-M_alt 'R -3'
_space_group_IT_number 148
_space_group_name_Hall '-R 3'
_cell_length_a 11.2898
_cell_length_b 11.2898
_cell_length_c 14.4710
_cell_angle_alpha 90.00
_cell_angle_beta 90.00
_cell_angle_gamma 120.00
loop_
_atom_site_label
_atom_site_fract_x
_atom_site_fract_y
_atom_site_fract_z
Na1 0.0357 0.8472 0.3168
Na2 0.0612 0.2187 0.9124
Cd1 0.0396 0.5943 0.2014
Ge1 0.0000 0.0000 0.5000
# * total energy: -1.422 eV/atom
# * calculated formation energy: -0.057 eV/atom
# * magnetization: 0.0 μB per cell

Record 3
# PBE-GGA NaCd3Ge3, optimized geometry
data_NaCd3Ge3
_space_group_name_H-M_alt 'P m -3 n'
_space_group_IT_number 223
_space_group_name_Hall '-P 4n 2 3'
_cell_length_a 7.549
_cell_length_b 7.549
_cell_length_c 7.549
_cell_angle_alpha 90.00
_cell_angle_beta 90.00
_cell_angle_gamma 90.00
loop_
_atom_site_label
_atom_site_fract_x
_atom_site_fract_y
_atom_site_fract_z
Na1 0.000 0.000 0.000
Cd1 0.000 0.250 0.500
Ge1 0.000 0.500 0.250
# * total energy: -2.231 eV/atom
# * calculated formation energy: 0.329 eV/atom
# * magnetization: 0.0 μB per cell